Below is a PBEsol-optimized structure of In2SbPt, with properties calculated at the SCAN level.

```
In2SbPt
1.0
3.237 0.073 0.000
-0.080 3.236 0.000
0.000 0.000 8.165
Sb In Pt
1 2 1
direct
0.500 0.500 0.000
0.000 0.000 0.296
0.000 0.000 0.704
0.500 0.500 0.500
```

Calculated values
Energy relative to the elements, uncorrected in meV per atom: -91
Calculated total energy in eV per atom: -43.65